1.
InFeSn2O PBE+U optimized geometry; SG = P4/mmm; M_tot = 3.6 μB per formula unit; mass density = 6.35 Mg/m³; energy = -4.49 eV per atom
1.0
5.372 0.000 0.000
0.000 5.372 0.000
0.000 0.000 3.845
In Fe Sn O
1 1 2 1
Cartesian
0.000 0.000 0.000
2.686 2.686 0.000
0.000 2.686 1.923
2.686 0.000 1.923
2.686 2.686 1.923

=====

2.
In2FeSnO6 PBE+U optimized geometry; SG = P1; M_tot = 4.0 μB per formula unit; mass density = 6.54 Mg/m³; energy = -6.03 eV per atom
1.0
5.464 0.000 0.000
-2.712 4.780 0.000
-2.672 -1.638 4.860
In Fe Sn O
2 1 1 6
Cartesian
0.000 0.000 0.000
-2.687 1.566 2.459
0.046 3.183 1.730
0.056 -0.035 4.249
-1.131 1.631 0.812
-1.776 -0.200 3.296
-1.582 3.251 3.261
1.971 0.188 0.814
0.803 1.651 3.305
1.899 2.985 0.834

=====

3.
Sr4InFe3O12 PBE+U optimized geometry; SG = Im-3m; M_tot = 12.2 μB per formula unit; mass density = 5.43 Mg/m³; energy = -6.17 eV per atom
1.0
-3.980 3.980 3.980
3.980 -3.980 3.980
3.980 3.980 -3.980
Sr In Fe O
4 1 3 12
Cartesian
1.990 1.990 -1.990
1.990 -1.990 1.990
-1.990 1.990 1.990
1.990 1.990 1.990
0.000 0.000 0.000
3.980 0.000 0.000
0.000 3.980 0.000
0.000 0.000 3.980
2.105 0.000 0.000
5.856 0.000 0.000
3.980 1.990 0.000
3.980 0.000 1.990
0.000 2.105 0.000
0.000 0.000 2.105
1.990 3.980 0.000
1.990 0.000 3.980
0.000 5.856 0.000
0.000 0.000 5.856
0.000 3.980 1.990
0.000 1.990 3.980

=====

4.
Sr2InFe2O6 PBE+U optimized geometry; SG = R-3m; M_tot = 9.0 μB per formula unit; mass density = 4.74 Mg/m³; energy = -6.09 eV per atom
1.0
3.005 1.735 5.571
-3.005 1.735 5.571
0.000 -3.470 5.571
Sr In Fe O
2 1 2 6
Cartesian
0.000 0.000 3.403
0.000 0.000 13.311
0.000 0.000 0.000
0.000 0.000 7.082
0.000 0.000 9.632
-1.596 -0.922 9.681
0.000 -1.843 7.032
-1.596 0.922 7.032
1.596 -0.922 9.681
0.000 1.843 9.681
1.596 0.922 7.032

=====

5.
SrIn2Fe2O7 PBE+U optimized geometry; SG = Imm2; M_tot = 10.0 μB per formula unit; mass density = 5.28 Mg/m³; energy = -6.09 eV per atom
1.0
-2.009 7.797 2.713
2.009 -7.797 2.713
2.009 7.797 -2.713
Sr In Fe O
1 2 2 7
Cartesian
0.000 0.000 0.000
2.009 3.614 0.391
0.000 4.183 3.104
0.000 6.122 0.277
0.000 9.471 0.277
2.009 -1.634 1.074
2.009 1.634 1.074
0.000 4.117 0.957
2.009 5.795 0.683
0.000 7.797 1.163
0.000 2.002 3.397
0.000 11.476 0.957

=====

6.
InFeTe2O8 PBE+U optimized geometry; SG = I-4m2; M_tot = 3.8 μB per formula unit; mass density = 5.44 Mg/m³; energy = -5.44 eV per atom
1.0
-3.524 3.524 3.402
3.524 -3.524 3.402
3.524 3.524 -3.402
In Fe Te O
1 1 2 8
Cartesian
0.000 0.000 0.000
0.000 3.524 1.701
3.524 0.000 1.701
0.000 0.000 3.402
2.148 0.000 0.391
4.900 0.000 0.391
3.524 2.145 -1.287
3.524 -1.376 3.011
0.000 1.379 2.115
3.524 1.376 3.011
2.145 3.524 1.287
1.379 0.000 4.689

=====

7.
InFeTeO5 PBE+U optimized geometry; SG = C2/c; M_tot = 4.1 μB per formula unit; mass density = 5.17 Mg/m³; energy = -5.64 eV per atom
1.0
3.479 -5.402 0.000
3.479 5.402 0.000
-2.360 0.000 6.463
In Fe Te O
2 2 2 10
Cartesian
1.740 2.701 0.000
0.560 -2.701 3.231
2.889 5.277 1.616
1.710 -5.277 4.847
2.889 0.033 1.616
1.710 -0.033 4.847
1.068 0.579 0.755
2.889 3.329 1.616
-0.112 -0.579 3.987
1.141 1.323 6.113
2.278 1.323 3.580
2.321 -1.323 2.882
3.458 -1.323 0.349
4.711 0.579 2.476
1.710 -3.329 4.847
3.531 -0.579 5.707

=====

8.
ThInFe2O6 PBE+U optimized geometry; SG = C2/m; M_tot = 9.0 μB per formula unit; mass density = 6.54 Mg/m³; energy = -7.03 eV per atom
1.0
5.021 -2.950 0.000
5.021 2.950 0.000
-2.535 0.000 4.754
Th In Fe O
1 1 2 6
Cartesian
0.000 0.000 0.000
3.753 0.000 2.377
0.779 0.000 3.193
6.727 0.000 1.561
2.350 1.432 3.020
2.344 0.000 0.056
5.156 1.432 1.734
2.350 -1.432 3.020
5.163 0.000 4.698
5.156 -1.432 1.734